(1)
CrReS, relaxed, DFT GGA-PBE; magnetization = 0.734 μB per atom; crystal system = tetragonal; energy = -8.40 eV per atom; V = 14.598 Å³/atom
1.0
3.913 0.000 0.000
0.000 3.913 0.000
0.000 0.000 5.721
Cr S Re
2 2 2
Direct
0.500 0.000 0.328 Cr
0.000 0.500 0.672 Cr
0.000 0.500 0.266 S
0.500 0.000 0.734 S
0.500 0.500 0.000 Re
0.000 0.000 0.000 Re

(2)
CaSi4Ir2, relaxed, DFT GGA-PBE; magnetization = 0.000 μB per atom; crystal system = orthorhombic; energy = -6.56 eV per atom; V = 15.884 Å³/atom
1.0
-1.946 -1.311 3.384
5.510 0.494 3.359
-3.804 15.771 3.922
Si Ca Ir
16 4 8
Direct
0.750 0.965 0.067 Si
0.750 0.535 0.567 Si
0.750 0.867 0.465 Si
0.250 0.687 0.683 Si
0.750 0.313 0.317 Si
0.250 0.813 0.183 Si
0.250 0.273 0.691 Si
0.750 0.773 0.809 Si
0.250 0.133 0.535 Si
0.750 0.727 0.309 Si
0.750 0.187 0.817 Si
0.750 0.633 0.965 Si
0.250 0.465 0.433 Si
0.250 0.367 0.035 Si
0.250 0.227 0.191 Si
0.250 0.035 0.933 Si
0.250 0.496 0.858 Ca
0.750 0.504 0.142 Ca
0.250 0.004 0.358 Ca
0.750 0.996 0.642 Ca
0.250 0.755 0.034 Ir
0.250 0.979 0.787 Ir
0.250 0.521 0.287 Ir
0.750 0.245 0.966 Ir
0.750 0.021 0.213 Ir
0.750 0.255 0.466 Ir
0.750 0.479 0.713 Ir
0.250 0.745 0.534 Ir

(3)
KCdP, relaxed, DFT GGA-PBE; energy of formation from the pure elements = -0.106 eV/atom; magnetization = 0.000 μB per atom; crystal system = monoclinic; V = 28.849 Å³/atom
1.0
-8.722 -15.807 -9.074
-1.274 -7.104 -5.655
3.912 5.175 6.480
K P Cd
2 2 2
Direct
0.671 0.803 0.197 K
0.479 0.234 0.766 K
0.963 0.270 0.730 P
0.889 0.927 0.073 P
0.237 0.668 0.332 Cd
0.090 0.988 0.012 Cd

(4)
BeCd2Co, relaxed, DFT GGA-PBE; energy of formation from the pure elements = 0.418 eV/atom; magnetization = 0.317 μB per atom; crystal system = orthorhombic; V = 15.087 Å³/atom
1.0
-2.054 1.447 1.613
-2.248 -0.559 -2.362
-1.557 -5.244 2.722
Cd Be Co
2 1 1
Direct
0.000 0.000 0.995 Cd
0.000 0.000 0.505 Cd
0.500 0.500 0.750 Be
0.500 0.500 0.250 Co